Record 1
# La2Zn2CuRh5

A relaxed La2Zn2CuRh5 crystal (PBE, the Alexandria database).

a = 3.732 Å, b = 9.705 Å, c = 9.705 Å
α = 90.00°, β = 90.00°, γ = 90.00°
Sites, in units of the cell vectors:
La: 0.000 0.678 0.178
La: 0.000 0.322 0.822
La: 0.000 0.178 0.322
La: 0.000 0.822 0.678
Zn: 0.000 0.122 0.622
Zn: 0.000 0.878 0.378
Zn: 0.000 0.622 0.878
Zn: 0.000 0.378 0.122
Cu: 0.000 0.000 0.000
Cu: 0.000 0.500 0.500
Rh: 0.500 0.202 0.066
Rh: 0.500 0.798 0.934
Rh: 0.500 0.066 0.798
Rh: 0.500 0.702 0.434
Rh: 0.500 0.934 0.202
Rh: 0.500 0.298 0.566
Rh: 0.500 0.566 0.702
Rh: 0.500 0.434 0.298
Rh: 0.500 0.500 0.000
Rh: 0.500 0.000 0.500

---

Record 2
# La2Zn3Cu12Rh

A relaxed La2Zn3Cu12Rh crystal (PBE, the Alexandria database).

a = 7.684 Å, b = 7.684 Å, c = 7.684 Å
α = 62.64°, β = 62.64°, γ = 62.64°
Sites, in units of the cell vectors:
La: 0.621 0.621 0.621
La: 0.379 0.379 0.379
Zn: 0.500 0.000 0.000
Zn: 0.000 0.500 0.000
Zn: 0.000 0.000 0.500
Cu: 0.364 0.364 0.863
Cu: 0.875 0.875 0.372
Cu: 0.372 0.875 0.875
Cu: 0.863 0.364 0.364
Cu: 0.875 0.372 0.875
Cu: 0.364 0.863 0.364
Cu: 0.636 0.636 0.137
Cu: 0.125 0.125 0.628
Cu: 0.628 0.125 0.125
Cu: 0.137 0.636 0.636
Cu: 0.125 0.628 0.125
Cu: 0.636 0.137 0.636
Rh: 0.000 0.000 0.000

---

Values for ΔE_f, eV/atom, ordered as above
-0.40, 0.38